A plane-wave DFT calculation with PBE was carried out for CuTc2PdSe after structural relaxation.

## Properties
- E_tot: -28.35 eV per formula unit
- Mass density: 8.18 g/cm³
- Energy relative to the elements, uncorrected: 1.0313 eV/atom

Lattice parameters (Å, degrees): 4.5424 4.5424 4.3764 90.00 90.00 90.00
With the nearest neighbours (Å) after each atom.
Space group P4/mmm (No. 123)
Inequivalent atoms, fractional coordinates:
Cu1 0.0000 0.0000 0.0000 [1 per cell]  2 Se 2.19
Tc1 0.0000 0.5000 0.5000 [2 per cell]  2 Se 2.27
Pd1 0.5000 0.5000 0.0000 [1 per cell]  8 Tc 3.15, 4 Cu 3.21
Se1 0.0000 0.0000 0.5000 [1 per cell]  2 Cu 2.19, 4 Tc 2.27


A plane-wave DFT calculation with PBE was carried out for SrLuAlCd after structural relaxation.

## Properties
- E_tot: -11.63 eV per formula unit
- Mass density: 6.12 g/cm³

Lattice parameters (Å, degrees): 7.5841 7.5841 7.5841 90.00 90.00 90.00
With the nearest neighbours (Å) after each atom.
Space group F-43m (No. 216)
Inequivalent atoms, fractional coordinates:
Sr1 0.0000 0.0000 0.0000 [4 per cell]  4 Cd 3.28, 4 Al 3.28
Lu1 0.0000 0.0000 0.5000 [4 per cell]  4 Cd 3.28, 4 Al 3.28
Al1 0.2500 0.2500 0.2500 [4 per cell]  4 Sr 3.28, 4 Lu 3.28
Cd1 0.2500 0.2500 0.7500 [4 per cell]  4 Sr 3.28, 4 Lu 3.28


A plane-wave DFT calculation with PBE was carried out for AcAlInAg2 after structural relaxation.

## Properties
- E_tot: -17.84 eV per formula unit
- Mass density: 7.93 g/cm³

Lattice parameters (Å, degrees): 4.6143 4.6213 11.4827 90.00 90.00 90.00
With the nearest neighbours (Å) after each atom.
Space group Imm2 (No. 44)
Inequivalent atoms, fractional coordinates:
Ac1 0.0000 0.0000 0.0000 [2 per cell]  8 Ag 3.50-3.83, 4 Al 3.52, 4 In 3.68-3.69
Al1 0.0000 0.0000 0.3863 [2 per cell]  3 Ag 2.56-2.69, 2 In 2.78
In1 0.0000 0.5000 0.7510 [2 per cell]  2 Al 2.78, 2 Ag 2.82
Ag1 0.0000 0.0000 0.6096 [2 per cell]  1 Al 2.56, 2 In 2.82
Ag2 0.0000 0.5000 0.2656 [2 per cell]  2 Al 2.69, 2 Ag 2.92


A plane-wave DFT calculation with PBE was carried out for AlGeP after structural relaxation.

## Properties
- E_tot: -14.29 eV per formula unit
- Mass density: 3.38 g/cm³
- Energy above the lowest structure with this stoichiometry: 0.172 eV/atom

Lattice parameters (Å, degrees): 10.7879 6.2051 3.8365 90.00 92.71 90.00
With the nearest neighbours (Å) after each atom.
Space group C2 (No. 5)
Inequivalent atoms, fractional coordinates:
Al1 0.1987 0.0000 0.3123 [4 per cell]  3 P 2.40-2.41, 1 Ge 2.54
Ge1 0.0000 0.5706 0.0000 [2 per cell]  2 P 2.41, 2 Ge 2.48
Ge2 0.0000 0.8239 0.5000 [2 per cell]  2 Ge 2.48, 2 Al 2.54
P1 0.1873 0.3791 0.1719 [4 per cell]  3 Al 2.40-2.41, 1 Ge 2.41


A plane-wave DFT calculation with PBE was carried out for AlNiTe2 after structural relaxation.

## Properties
- E_tot: -15.58 eV per formula unit
- Mass density: 6.17 g/cm³
- Energy relative to the elements, uncorrected: 0.0564 eV/atom

Lattice parameters (Å, degrees): 5.0080 3.8400 5.0193 90.00 108.11 90.00
With the nearest neighbours (Å) after each atom.
Space group P2/m (No. 10)
Inequivalent atoms, fractional coordinates:
Al1 0.0000 0.0000 0.0000 [1 per cell]  2 Ni 2.94, 4 Te 3.05
Ni1 0.5000 0.0000 0.5000 [1 per cell]  4 Te 2.56
Te1 0.2918 0.5000 0.7084 [2 per cell]  2 Ni 2.56


A plane-wave DFT calculation with PBE was carried out for Tb3Nd2Cd3 after structural relaxation.

## Properties
- E_tot: -28.00 eV per formula unit
- Mass density: 7.94 g/cm³
- Energy above the lowest structure with this stoichiometry: 0.000 eV/atom

Lattice parameters (Å, degrees): 3.8012 5.3833 22.5265 90.00 90.00 90.00
With the nearest neighbours (Å) after each atom.
Space group Immm (No. 71)
Inequivalent atoms, fractional coordinates:
Tb1 0.0000 0.0000 0.0000 [2 per cell]  8 Cd 3.19-3.30
Tb2 0.0000 0.5000 0.1200 [4 per cell]  6 Cd 3.30-3.31, 2 Nd 3.69
Nd1 0.0000 0.0000 0.2320 [4 per cell]  2 Cd 3.27, 4 Nd 3.39
Cd1 0.0000 0.0000 0.5000 [2 per cell]  8 Tb 3.30-3.31
Cd2 0.0000 0.5000 0.3864 [4 per cell]  6 Tb 3.19-3.30, 2 Nd 3.27


A plane-wave DFT calculation with PBE was carried out for SrCa4Cr after structural relaxation.

## Properties
- E_tot: -16.32 eV per formula unit
- Mass density: 2.02 g/cm³

Lattice parameters (Å, degrees): 9.9596 9.9596 9.9596 90.00 90.00 90.00
With the nearest neighbours (Å) after each atom.
Space group F-43m (No. 216)
Inequivalent atoms, fractional coordinates:
Sr1 0.0000 0.0000 0.0000 [4 per cell]  12 Ca 4.13, 4 Cr 4.31
Ca1 0.1245 0.1245 0.6245 [16 per cell]  6 Ca 3.51-3.54
Cr1 0.2500 0.2500 0.2500 [4 per cell]  12 Ca 4.13, 4 Sr 4.31


A plane-wave DFT calculation with PBE was carried out for KReMo after structural relaxation.

## Properties
- E_tot: -14.35 eV per formula unit
- Mass density: 7.10 g/cm³
- Energy above the lowest structure with this stoichiometry: 2.404 eV/atom

Lattice parameters (Å, degrees): 6.6970 6.6970 6.6970 90.00 90.00 90.00
With the nearest neighbours (Å) after each atom.
Space group F-43m (No. 216)
Inequivalent atoms, fractional coordinates:
K1 0.0000 0.0000 0.0000 [4 per cell]  4 Mo 2.90, 4 Re 2.90
Re1 0.2500 0.2500 0.7500 [4 per cell]  4 K 2.90
Mo1 0.2500 0.2500 0.2500 [4 per cell]  4 K 2.90


A plane-wave DFT calculation with PBE was carried out for MnTcNi after structural relaxation.

## Properties
- E_tot: -25.00 eV per formula unit
- Mass density: 9.32 g/cm³
- Energy above the lowest structure with this stoichiometry: 0.060 eV/atom

Lattice parameters (Å, degrees): 3.0475 3.0475 8.1196 90.00 90.00 90.00
With the nearest neighbours (Å) after each atom.
Space group I4mm (No. 107)
Inequivalent atoms, fractional coordinates:
Mn1 0.0000 0.0000 0.0000 [2 per cell]  5 Ni 2.51-2.77, 5 Tc 2.52-2.74
Tc1 0.0000 0.0000 0.3381 [2 per cell]  5 Mn 2.52-2.74, 5 Ni 2.60
Ni1 0.0000 0.0000 0.6588 [2 per cell]  5 Mn 2.51-2.77, 5 Tc 2.60


A plane-wave DFT calculation with PBE was carried out for ZrSiAs2 after structural relaxation.

## Properties
- E_tot: -23.74 eV per formula unit
- Mass density: 5.85 g/cm³
- Energy relative to the elements, uncorrected: -0.1167 eV/atom
- Energy above the lowest structure with this stoichiometry: 0.517 eV/atom

Lattice parameters (Å, degrees): 3.7964 5.1963 7.7458 90.00 90.00 90.00
With the nearest neighbours (Å) after each atom.
Space group Cmmm (No. 65)
Inequivalent atoms, fractional coordinates:
Zr1 0.0000 0.0000 0.0000 [2 per cell]  4 As 2.72
Si1 0.0000 0.0000 0.5000 [2 per cell]  4 As 2.70
As1 0.0000 0.5000 0.2517 [4 per cell]  2 Si 2.70, 2 Zr 2.72


A plane-wave DFT calculation with PBE was carried out for TbGaPt2 after structural relaxation.

## Properties
- E_tot: -23.97 eV per formula unit
- Mass density: 13.91 g/cm³

Lattice parameters (Å, degrees): 14.6552 7.2373 5.5728 90.00 90.00 90.00
With the nearest neighbours (Å) after each atom.
Space group Pnma (No. 62)
Inequivalent atoms, fractional coordinates:
Tb1 0.1119 0.2500 0.2390 [4 per cell]  3 Ga 2.93-3.00, 8 Pt 3.03-3.23
Tb2 0.1374 0.7500 0.0052 [4 per cell]  3 Ga 2.93-3.01, 8 Pt 2.97-3.22
Ga1 0.0671 0.7500 0.5126 [4 per cell]  6 Pt 2.58-2.63
Ga2 0.1815 0.2500 0.7460 [4 per cell]  6 Pt 2.56-2.62
Pt1 0.0331 0.0491 0.7643 [8 per cell]  3 Ga 2.58-2.63
Pt2 0.2158 0.5534 0.5289 [8 per cell]  3 Ga 2.56-2.60, 1 Pt 2.85


A plane-wave DFT calculation with PBE was carried out for YErP2 after structural relaxation.

## Properties
- E_tot: -28.33 eV per formula unit
- Mass density: 5.88 g/cm³
- Energy above the lowest structure with this stoichiometry: 0.001 eV/atom

Lattice parameters (Å, degrees): 3.9921 3.9921 19.5447 90.00 90.00 120.00
With the nearest neighbours (Å) after each atom.
Space group R-3m (No. 166, hexagonal axes)
Inequivalent atoms, fractional coordinates:
Y1 0.0000 0.0000 0.0000 [3 per cell]  6 P 2.83
Er1 0.0000 0.0000 0.5000 [3 per cell]  6 P 2.81
P1 0.0000 0.0000 0.2490 [6 per cell]  3 Er 2.81, 3 Y 2.83


Question: mass density of number 12 (YErP2)?
Answer: 5.88 g/cm³


Question: Which value of E_tot does entry 5 give?
Answer: -15.58 eV per formula unit


Question: Among the records above, which one has the highest E_tot?
Answer: SrLuAlCd


Question: What is the formula in the eighth record?
Answer: KReMo